1.
Entry from Alexandria via LeMat-Bulk: a relaxed V4CrCo crystal (PBE-GGA).

```
V4CrCo
1.0
-0.437 0.988 4.052
1.612 -2.149 2.868
5.378 3.385 1.925
V Cr Co
4 1 1
Cartesian
1.429 -0.349 4.579 V
5.124 2.572 4.265 V
3.478 1.968 2.065 V
3.074 0.255 6.779 V
3.276 1.112 4.422 Cr
0.000 0.000 0.000 Co
```

Output
The calculation puts the size of the total moment at 0.00 μB per formula unit. For the energy of formation, the calculation gives 0.4728 eV per atom. The energy above the most stable polymorph in this dataset comes out at 3.45 eV/f.u.

2.
Entry from Alexandria via LeMat-Bulk: a relaxed BaY crystal (PBE-GGA).

```
BaY
1.0
3.772 0.000 0.000
-1.388 3.507 0.000
0.000 0.000 6.429
Ba Y
1 1
Cartesian
0.000 0.000 0.000 Ba
1.192 1.753 3.214 Y
```

Output
The calculation puts the size of the total moment at 0.00 μB per formula unit. For the energy of formation, the calculation gives 0.3167 eV per atom. The energy above the most stable polymorph in this dataset comes out at 0.32 eV/f.u.

3.
Entry from Alexandria via LeMat-Bulk: a relaxed La2Pm3Nd6Al crystal (PBE-GGA).

```
La2Pm3Nd6Al
1.0
6.255 -0.007 -0.009
-3.131 5.414 -0.009
-1.043 -1.807 11.813
La Pm Nd Al
2 3 6 1
Cartesian
0.005 3.603 -0.009 La
3.118 1.805 -0.009 La
-2.069 3.596 5.898 Pm
4.149 0.005 5.898 Pm
1.040 1.800 5.898 Pm
3.087 1.870 8.902 Nd
2.117 3.666 2.904 Nd
-1.008 1.731 2.893 Nd
0.077 3.609 8.902 Nd
-0.038 -0.065 8.892 Nd
2.003 -0.008 2.893 Nd
0.000 0.000 0.000 Al
```

Output
The calculation puts the size of the total moment at 0.00 μB per formula unit. For the energy of formation, the calculation gives -0.0176 eV per atom.

4.
Entry from Alexandria via LeMat-Bulk: a relaxed Pm4Bi3O crystal (PBE-GGA).

```
Pm4Bi3O
1.0
6.432 0.000 0.000
0.000 6.431 0.000
0.000 0.000 12.538
Pm Bi O
8 6 2
Cartesian
0.399 5.459 0.000 Pm
4.246 1.635 0.000 Pm
0.387 1.554 3.128 Pm
3.603 4.876 3.141 Pm
1.031 4.795 6.269 Pm
3.615 0.972 6.269 Pm
3.603 4.876 9.397 Pm
0.387 1.554 9.410 Pm
3.624 4.858 0.000 Bi
0.383 4.768 3.128 Bi
3.599 1.663 3.141 Bi
0.408 1.573 6.269 Bi
3.599 1.663 9.397 Bi
0.383 4.768 9.410 Bi
6.368 1.153 0.000 O
3.152 5.278 6.269 O
```

Output
The calculation puts the size of the total moment at 0.00 μB per formula unit. The formation energy from raw total energies is -28.85 kcal/mol of atoms.

5.
Entry from Alexandria via LeMat-Bulk: a relaxed TbPm3Pr2Y6 crystal (PBE-GGA).

```
TbPm3Pr2Y6
1.0
6.270 0.000 0.006
-3.133 5.431 0.006
-1.052 -1.822 11.708
Tb Pm Pr Y
1 3 2 6
Cartesian
0.000 0.000 0.000 Tb
-2.091 3.614 5.860 Pm
4.175 -0.005 5.860 Pm
1.042 1.804 5.860 Pm
0.003 3.619 0.006 Pr
3.133 1.812 0.006 Pr
3.129 1.805 8.786 Y
2.091 3.620 2.944 Y
-1.045 1.803 2.934 Y
0.000 3.613 8.786 Y
-0.007 -0.011 8.776 Y
2.084 -0.004 2.934 Y
```

Output
The calculation puts the size of the total moment at 0.00 μB per formula unit. For the energy of formation, the calculation gives 0.0108 eV per atom.

6.
Entry from Alexandria via LeMat-Bulk: a relaxed CaURhN3 crystal (PBE-GGA).

```
CaURhN3
1.0
-1.554 1.790 -2.738
-6.699 -4.635 0.774
-1.362 4.651 3.814
Ca U Rh N
2 2 2 6
Cartesian
-2.896 0.733 0.926 Ca
-6.720 1.073 0.924 Ca
-5.094 -2.112 0.314 U
-4.522 3.918 1.536 U
-1.597 3.338 1.891 Rh
-8.019 -1.532 -0.041 Rh
-6.515 -2.171 -1.313 N
-3.101 3.977 3.163 N
-6.573 -1.299 1.685 N
-3.043 3.105 0.165 N
-4.803 -0.026 -0.883 N
-4.813 1.832 2.733 N
```

Output
The calculation puts the size of the total moment at 0.00 μB per formula unit. The formation energy from raw total energies is -18.14 kcal/mol of atoms.

7.
Entry from Alexandria via LeMat-Bulk: a relaxed YB3Rh3 crystal (PBE-GGA).

```
YB3Rh3
1.0
6.856 0.614 0.610
0.587 7.782 0.834
0.636 0.896 7.052
Y B Rh
4 12 12
Cartesian
1.129 5.268 6.863 Y
6.679 1.204 4.308 Y
3.981 4.082 3.854 Y
5.030 7.899 8.047 Y
5.348 4.939 7.665 B
5.459 0.731 1.562 B
7.465 6.179 4.871 B
1.266 4.794 2.663 B
2.336 1.935 4.291 B
1.624 0.619 1.368 B
7.532 3.112 7.038 B
4.024 4.354 6.614 B
3.695 2.700 1.242 B
3.970 1.633 5.005 B
6.758 4.274 3.113 B
4.224 6.705 4.220 B
5.868 2.822 1.850 Rh
0.954 7.380 0.947 Rh
6.162 6.531 3.248 Rh
2.312 6.588 3.320 Rh
1.731 2.500 2.112 Rh
3.184 7.717 5.798 Rh
0.783 3.417 4.486 Rh
2.763 2.644 6.440 Rh
5.527 2.653 6.570 Rh
5.492 5.916 5.827 Rh
3.896 1.016 2.881 Rh
2.755 4.903 1.079 Rh
```

Output
The calculation puts the size of the total moment at 0.00 μB per formula unit. For the energy of formation, the calculation gives -0.4428 eV per atom.

8.
Entry from Alexandria via LeMat-Bulk: a relaxed GaCCl3 crystal (PBE-GGA).

```
GaCCl3
1.0
-1.966 -4.156 0.090
2.268 -1.156 -3.829
3.483 -1.593 2.544
C Ga Cl
1 1 3
Cartesian
0.000 0.000 0.000 C
1.892 -3.452 -0.598 Ga
1.134 -0.578 -1.915 Cl
1.742 -0.797 1.272 Cl
-0.983 -2.078 0.045 Cl
```

Output
The calculation puts the size of the total moment at 0.00 μB per formula unit. The formation energy from raw total energies is 13.34 kcal/mol of atoms. The energy above the most stable polymorph in this dataset comes out at 0.00 eV/f.u.

9.
Entry from Alexandria via LeMat-Bulk: a relaxed Ti2Tc2P crystal (PBE-GGA).

```
Ti2Tc2P
1.0
-2.743 -2.377 -5.068
5.189 -3.194 -1.311
-1.386 -3.171 2.238
P Tc Ti
2 4 4
Cartesian
0.000 0.000 0.000 P
1.223 -2.785 -3.189 P
2.246 -3.968 -0.436 Tc
2.006 -5.853 -3.256 Tc
-1.187 -4.774 -3.705 Tc
-0.947 -2.889 -0.885 Tc
3.416 -3.467 -2.796 Ti
1.155 -4.108 -5.106 Ti
-0.969 -2.104 -3.582 Ti
1.291 -1.463 -1.273 Ti
```

Output
The calculation puts the size of the total moment at 0.00 μB per formula unit. For the energy of formation, the calculation gives 0.0490 eV per atom. The energy above the most stable polymorph in this dataset comes out at 0.39 eV/f.u.

10.
Entry from Alexandria via LeMat-Bulk: a relaxed NpCdRuO6 crystal (PBE-GGA).

```
NpCdRuO6
1.0
4.933 0.000 0.000
0.000 4.933 0.000
0.000 0.000 9.785
Np Cd Ru O
2 2 2 12
Cartesian
2.467 2.467 8.168 Np
0.000 0.000 3.275 Np
2.467 2.467 1.621 Cd
0.000 0.000 6.514 Cd
2.467 2.467 4.899 Ru
0.000 0.000 0.006 Ru
1.072 3.861 4.760 O
3.861 1.072 4.760 O
1.395 1.395 9.653 O
3.539 3.539 9.653 O
0.889 4.044 1.585 O
4.044 0.889 1.585 O
1.578 1.578 6.478 O
3.356 3.356 6.478 O
3.936 0.998 8.328 O
0.998 3.936 8.328 O
3.464 3.464 3.435 O
1.469 1.469 3.435 O
```

Output
The calculation puts the size of the total moment at 3.03 μB per formula unit. The formation energy from raw total energies is -39.46 kcal/mol of atoms.

11.
Entry from Alexandria via LeMat-Bulk: a relaxed LiAs2RhSe crystal (PBE-GGA).

```
LiAs2RhSe
1.0
4.662 0.000 0.000
0.000 4.662 0.000
0.000 0.000 5.537
As Rh Se Li
2 1 1 1
Cartesian
0.000 2.331 0.000 As
2.331 0.000 0.000 As
0.000 0.000 0.000 Rh
0.000 0.000 2.769 Se
2.331 2.331 2.769 Li
```

Output
The calculation puts the size of the total moment at 0.00 μB per formula unit. The formation energy from raw total energies is 2.20 kcal/mol of atoms. The energy above the most stable polymorph in this dataset comes out at 0.00 eV/f.u.

12.
Entry from Alexandria via LeMat-Bulk: a relaxed La2ZnNiSn crystal (PBE-GGA).

```
La2ZnNiSn
1.0
5.343 0.000 0.000
0.000 5.343 0.000
0.000 0.000 4.677
Ni Zn Sn La
1 1 1 2
Cartesian
0.000 0.000 0.000 Ni
0.000 0.000 2.338 Zn
2.672 2.672 2.338 Sn
0.000 2.672 0.000 La
2.672 0.000 0.000 La
```

Output
The calculation puts the size of the total moment at 0.00 μB per formula unit. For the energy of formation, the calculation gives -0.4375 eV per atom.

13.
Entry from Alexandria via LeMat-Bulk: a relaxed Nd8Sm5Ho crystal (PBE-GGA).

```
Nd8Sm5Ho
1.0
8.630 -0.077 0.133
-2.993 8.095 -0.133
-2.644 -4.131 7.102
Nd Sm Ho
8 5 1
Cartesian
-0.926 5.627 0.436 Nd
5.969 -2.018 4.809 Nd
4.658 0.644 2.450 Nd
2.106 -0.654 6.584 Nd
2.023 3.741 1.891 Nd
-0.029 3.832 5.856 Nd
0.972 0.331 3.104 Nd
-2.801 4.041 3.279 Nd
-1.021 1.994 0.900 Sm
4.318 6.458 1.288 Sm
3.110 2.527 5.110 Sm
2.993 -2.104 3.618 Sm
-0.422 -3.207 6.906 Sm
-1.322 0.930 5.293 Ho
```

Output
The calculation puts the size of the total moment at 0.00 μB per formula unit. For the energy of formation, the calculation gives 0.2423 eV per atom.

14.
Entry from Alexandria via LeMat-Bulk: a relaxed DyTm2Ag2Pb2 crystal (PBE-GGA).

```
DyTm2Ag2Pb2
1.0
-4.640 1.555 -0.472
-2.916 0.271 3.949
0.049 8.674 2.500
Dy Tm Ag Pb
1 2 2 2
Cartesian
0.000 0.000 0.000 Dy
-0.984 5.430 1.961 Tm
-6.522 5.071 4.016 Tm
-4.195 3.861 2.758 Ag
-3.311 6.639 3.220 Ag
-5.495 8.298 4.553 Pb
-2.011 2.202 1.424 Pb
```

Output
The calculation puts the size of the total moment at 0.00 μB per formula unit. For the energy of formation, the calculation gives -0.2560 eV per atom.

15.
Entry from Alexandria via LeMat-Bulk: a relaxed Rb3ScSb crystal (PBE-GGA).

```
Rb3ScSb
1.0
-1.068 4.907 -4.960
1.972 -4.601 -4.976
-6.693 -2.138 -0.675
Sc Sb Rb
1 1 3
Cartesian
-2.894 -0.917 -5.306 Sc
0.000 0.000 0.000 Sb
0.986 -2.301 -2.488 Rb
-3.346 -1.069 -0.337 Rb
-0.534 2.453 -2.480 Rb
```

Output
The calculation puts the size of the total moment at 1.00 μB per formula unit. The formation energy from raw total energies is 11.36 kcal/mol of atoms. The energy above the most stable polymorph in this dataset comes out at 0.00 eV/f.u.

16.
Entry from Alexandria via LeMat-Bulk: a relaxed Y5Tm2Sc crystal (PBE-GGA).

```
Y5Tm2Sc
1.0
-6.622 0.380 -2.726
1.979 -5.726 3.838
0.551 5.179 4.095
Y Tm Sc
5 2 1
Cartesian
-0.667 0.857 2.620 Y
-0.660 -4.112 1.964 Y
-4.388 4.143 2.772 Y
-2.990 -1.814 3.178 Y
-1.664 -1.222 0.025 Y
0.363 -2.045 4.515 Tm
-3.970 1.055 1.320 Tm
-3.427 1.280 4.681 Sc
```

Output
The calculation puts the size of the total moment at 0.00 μB per formula unit. For the energy of formation, the calculation gives 0.0100 eV per atom. The energy above the most stable polymorph in this dataset comes out at 0.00 eV/f.u.

17.
Entry from Alexandria via LeMat-Bulk: a relaxed NpSn2As2Pd7 crystal (PBE-GGA).

```
NpSn2As2Pd7
1.0
4.218 0.032 0.199
0.037 4.218 0.199
2.767 2.763 12.914
Np Sn As Pd
1 2 2 7
Cartesian
0.000 0.000 0.000 Np
4.012 4.007 4.660 Sn
3.010 3.006 8.652 Sn
5.079 5.073 9.568 As
1.943 1.940 3.744 As
2.127 2.125 0.199 Pd
2.363 2.360 6.183 Pd
4.659 4.653 7.129 Pd
4.121 2.042 2.363 Pd
2.047 4.119 2.363 Pd
4.974 2.894 10.949 Pd
2.900 4.971 10.949 Pd
```

Output
The calculation puts the size of the total moment at 3.54 μB per formula unit. For the energy of formation, the calculation gives -0.2965 eV per atom.

18.
Entry from Alexandria via LeMat-Bulk: a relaxed Nd2ScSi crystal (PBE-GGA).

```
Nd2ScSi
1.0
3.558 0.000 0.000
1.779 3.081 0.000
1.779 1.027 10.724
Sc Si Nd
1 1 2
Cartesian
0.000 0.000 0.000 Sc
3.558 2.054 5.362 Si
1.779 1.027 7.470 Nd
5.337 3.081 3.254 Nd
```

Output
The calculation puts the size of the total moment at 0.00 μB per formula unit. The formation energy from raw total energies is 3.43 kcal/mol of atoms.

19.
Entry from Alexandria via LeMat-Bulk: a relaxed Hf2Sc4Bi crystal (PBE-GGA).

```
Hf2Sc4Bi
1.0
5.483 0.000 0.000
0.000 5.483 0.000
2.742 2.742 7.122
Sc Hf Bi
4 2 1
Cartesian
5.483 5.483 2.884 Sc
2.742 2.742 4.239 Sc
0.000 2.742 0.000 Sc
2.742 0.000 0.000 Sc
5.483 5.483 5.774 Hf
2.742 2.742 1.348 Hf
0.000 0.000 0.000 Bi
```

Output
The calculation puts the size of the total moment at 0.00 μB per formula unit. For the energy of formation, the calculation gives 0.7720 eV per atom.

20.
Entry from Alexandria via LeMat-Bulk: a relaxed Tb2SmDyHo5 crystal (PBE-GGA).

```
Tb2SmDyHo5
1.0
-4.502 7.419 1.593
1.307 -1.066 8.660
7.887 0.741 -5.594
Tb Sm Dy Ho
4 2 2 10
Cartesian
-0.009 0.434 3.524 Tb
-2.615 4.433 1.965 Tb
-0.580 1.919 8.288 Tb
-3.186 5.918 6.729 Tb
3.145 1.959 -0.234 Sm
1.547 5.135 4.893 Sm
3.798 1.425 4.096 Dy
0.894 5.668 0.563 Dy
-1.503 6.625 3.683 Ho
3.011 5.266 -1.661 Ho
6.195 0.468 0.977 Ho
5.148 1.649 -3.214 Ho
4.058 4.084 2.530 Ho
-0.456 5.444 7.873 Ho
0.634 3.009 2.129 Ho
1.681 1.828 6.320 Ho
-1.597 3.176 5.126 Ho
0.000 0.000 0.000 Ho
```

Output
The calculation puts the size of the total moment at 0.00 μB per formula unit. For the energy of formation, the calculation gives 0.2899 eV per atom.

21.
Entry from Alexandria via LeMat-Bulk: a relaxed SrSbMo3 crystal (PBE-GGA).

```
SrSbMo3
1.0
-1.232 -0.437 -4.866
2.492 -4.373 -0.238
-4.203 -2.465 1.285
Sb Mo Sr
1 3 1
Cartesian
0.000 0.000 0.000 Sb
1.246 -2.186 -0.119 Mo
-2.101 -1.232 0.643 Mo
-0.616 -0.218 -2.433 Mo
-1.471 -3.637 -1.910 Sr
```

Output
The calculation puts the size of the total moment at 0.00 μB per formula unit. The formation energy from raw total energies is 36.12 kcal/mol of atoms. The energy above the most stable polymorph in this dataset comes out at 0.00 eV/f.u.

22.
Entry from Alexandria via LeMat-Bulk: a relaxed YThZnCo crystal (PBE-GGA).

```
YThZnCo
1.0
-1.540 3.226 3.476
-4.045 -1.020 2.731
0.475 -1.128 4.833
Y Zn Co Th
1 1 1 1
Cartesian
0.000 0.000 0.000 Y
-3.833 0.809 8.280 Zn
-1.278 0.270 2.760 Co
-2.555 0.539 5.520 Th
```

Output
The calculation puts the size of the total moment at 0.44 μB per formula unit. For the energy of formation, the calculation gives -0.1488 eV per atom.